(1)
LaAlAg2Sb | PBE | optimized geometry Values from VASP.

Computed properties:
VASP energy ... -17.0 eV for the cell shown
D(E_F) ... 4.46 states/eV/cell
Energy relative to the elements, uncorrected ... 0.2908 eV/atom
SG ... P4/mmm (123)

Quantum ESPRESSO input file:
```
&SYSTEM
  ibrav = 0, nat = 5, ntyp = 4
/
ATOMIC_SPECIES
Sb 121.76 Sb.upf
Al 26.98 Al.upf
Ag 107.87 Ag.upf
La 138.91 La.upf
CELL_PARAMETERS angstrom
-0.1718 3.5557 3.7423
-4.3071 2.2985 -2.3816
-3.1425 -3.0427 2.7466
ATOMIC_POSITIONS angstrom
Sb 0.0000 0.0000 0.0000
Al -2.1536 1.1493 -1.1908
Ag -1.5712 -1.5214 1.3733
Ag -0.0859 1.7778 1.8712
La -3.8107 1.4057 2.0537
```

(2)
KFeBi3 | PBE | optimized geometry Values from VASP.

Computed properties:
VASP energy ... -19.9 eV for the cell shown
D(E_F) ... 1.13 states/eV/cell
SG ... Pm-3m (221)

Quantum ESPRESSO input file:
```
&SYSTEM
  ibrav = 0, nat = 5, ntyp = 3
/
ATOMIC_SPECIES
K 39.10 K.upf
Bi 208.98 Bi.upf
Fe 55.84 Fe.upf
CELL_PARAMETERS angstrom
-2.3985 -4.6608 0.7066
3.8783 -1.5002 3.2685
-2.6797 2.0003 4.0979
ATOMIC_POSITIONS angstrom
K -0.6000 -2.0804 4.0365
Bi 1.9392 -0.7501 1.6342
Bi -1.3399 1.0002 2.0489
Bi -1.1992 -2.3304 0.3533
Fe 0.0000 0.0000 0.0000
```